# 1
# LiRu2Pt, relaxed, DFT GGA-PBEsol
# N(E_F) = 1.48 states/eV per atom
# Calculated volume = 13.59 A^3/atom
# Energy = -6.963 eV/atom
data_LiRu2Pt
_chemical_formula_sum 'Li1 Ru2 Pt1'
_cell_length_a 4.496
_cell_length_b 4.496
_cell_length_c 2.690
_cell_angle_alpha 90.00
_cell_angle_beta 90.00
_cell_angle_gamma 90.00
_symmetry_space_group_name_H-M 'P 4/m m m'
_symmetry_Int_Tables_number 123
_symmetry_space_group_name_Hall '-P 4 2'
loop_
_atom_site_label
_atom_site_type_symbol
_atom_site_fract_x
_atom_site_fract_y
_atom_site_fract_z
Li1 Li 0.000 0.000 0.000
Ru1 Ru 0.000 0.500 0.500
Pt1 Pt 0.500 0.500 0.000



# 2
# Li3RuPt, relaxed, DFT GGA-PBEsol
# N(E_F) = 0.92 states/eV per atom
# Calculated volume = 17.45 A^3/atom
# Energy = -3.720 eV/atom
data_Li3RuPt
_chemical_formula_sum 'Li3 Ru1 Pt1'
_cell_length_a 4.435
_cell_length_b 4.435
_cell_length_c 4.435
_cell_angle_alpha 90.00
_cell_angle_beta 90.00
_cell_angle_gamma 90.00
_symmetry_space_group_name_H-M 'P m -3 m'
_symmetry_Int_Tables_number 221
_symmetry_space_group_name_Hall '-P 4 2 3'
loop_
_atom_site_label
_atom_site_type_symbol
_atom_site_fract_x
_atom_site_fract_y
_atom_site_fract_z
Li1 Li 0.000 0.000 0.500
Ru1 Ru 0.500 0.500 0.500
Pt1 Pt 0.000 0.000 0.000



# 3
# LiRuPt2, relaxed, DFT GGA-PBEsol
# N(E_F) = 1.11 states/eV per atom
# Calculated volume = 13.84 A^3/atom
# Distance to the lowest polymorph of the same formula = 371.0 meV per atom
data_LiRuPt2
_chemical_formula_sum 'Li1 Ru1 Pt2'
_cell_length_a 3.202
_cell_length_b 3.202
_cell_length_c 5.398
_cell_angle_alpha 90.00
_cell_angle_beta 90.00
_cell_angle_gamma 90.00
_symmetry_space_group_name_H-M 'P 4 m m'
_symmetry_Int_Tables_number 99
_symmetry_space_group_name_Hall 'P 4 -2'
loop_
_atom_site_label
_atom_site_type_symbol
_atom_site_fract_x
_atom_site_fract_y
_atom_site_fract_z
Li1 Li 0.000 0.000 0.000
Ru1 Ru 0.500 0.500 0.738
Pt1 Pt 0.000 0.000 0.502
Pt2 Pt 0.500 0.500 0.223